# 1
DFT (PBE-GGA) results for crystalline CeLu2As at its relaxed geometry.

The space group is R-3m (No. 166, hexagonal axes) and the conventional cell measures 3.7542, 3.7542 and 28.0909 Å, with angles of 90.00, 90.00 and 120.00 degrees. The distinct sites, in fractional coordinates, are Ce at (0.0000, 0.0000, 0.0000), Lu at (0.0000, 0.0000, 0.2280) and As at (0.0000, 0.0000, 0.5000).

The spin magnetization is 5.07 μB per cell. Its formation energy is -498 meV/atom. The value obtained for the density of states at the Fermi level is 1.907 states/eV per atom.

# 2
DFT (PBE-GGA) results for crystalline CeLuAs2 at its relaxed geometry.

The space group is R-3m (No. 166, hexagonal axes) and the conventional cell measures 4.1317, 4.1317 and 20.1459 Å, with angles of 90.00, 90.00 and 120.00 degrees. The distinct sites, in fractional coordinates, are Ce at (0.0000, 0.0000, 0.0000), Lu at (0.0000, 0.0000, 0.5000) and As at (0.0000, 0.0000, 0.2465).

The spin magnetization is 1.98 μB per cell. Its formation energy is -1443 meV/atom. The value obtained for the density of states at the Fermi level is 1.402 states/eV per atom.

# 3
DFT (PBE-GGA) results for crystalline CeLuAs at its relaxed geometry.

The space group is P3m1 (No. 156) and the conventional cell measures 4.7681, 4.7681 and 4.0114 Å, with angles of 90.00, 90.00 and 120.00 degrees. The distinct sites, in fractional coordinates, are Ce at (0.0000, 0.0000, 0.0000), Lu at (0.6667, 0.3333, 0.4998) and As at (0.3333, 0.6667, 0.5066).

The spin magnetization is 1.81 μB per cell. Its formation energy is -560 meV/atom. The value obtained for the density of states at the Fermi level is 2.309 states/eV per atom.

# 4
DFT (PBE-GGA) results for crystalline Ce5MgAs6 at its relaxed geometry.

The space group is C2/m (No. 12) and the conventional cell measures 7.261, 12.575 and 7.261 Å, with angles of 90.00, 109.51 and 90.00 degrees. The distinct sites, in fractional coordinates, are Ce at (0.000, 0.000, 0.000), Ce at (0.000, 0.167, 0.500), Ce at (0.000, 0.333, 0.000), Mg at (0.000, 0.500, 0.500), As at (0.248, 0.334, 0.747) and As at (0.249, 0.500, 0.250).

The spin magnetization is 6.86 μB per cell. Its formation energy is -1237 meV/atom. The value obtained for the density of states at the Fermi level is 2.052 states/eV per atom.

# 5
DFT (PBE-GGA) results for crystalline Ce2MgAs3 at its relaxed geometry.

The space group is I4/mmm (No. 139) and the conventional cell measures 4.168, 4.168 and 17.562 Å, with angles of 90.00, 90.00 and 90.00 degrees. The distinct sites, in fractional coordinates, are Ce at (0.000, 0.000, 0.161), Mg at (0.000, 0.000, 0.500), As at (0.000, 0.000, 0.000) and As at (0.000, 0.000, 0.332).

The spin magnetization is 1.85 μB per cell. Its formation energy is -1065 meV/atom. The value obtained for the density of states at the Fermi level is 1.424 states/eV per atom.

# 6
DFT (PBE-GGA) results for crystalline Ce2MgAs at its relaxed geometry.

The space group is R-3m (No. 166, hexagonal axes) and the conventional cell measures 3.7730, 3.7730 and 31.9730 Å, with angles of 90.00, 90.00 and 120.00 degrees. The distinct sites, in fractional coordinates, are Ce at (0.0000, 0.0000, 0.1088), Mg at (0.0000, 0.0000, 0.0000) and As at (0.0000, 0.0000, 0.5000).

The calculation puts the polymorph energy (0 for the lowest one) at 320 meV per atom. The spin magnetization is 7.86 μB per cell. Its formation energy is -246 meV/atom. The value obtained for the density of states at the Fermi level is 3.113 states/eV per atom.

# 7
DFT (PBE-GGA) results for crystalline Ce6Mg23As at its relaxed geometry.

The space group is Fm-3m (No. 225) and the conventional cell measures 14.450, 14.450 and 14.450 Å, with angles of 90.00, 90.00 and 90.00 degrees. The distinct sites, in fractional coordinates, are Ce at (0.000, 0.000, 0.204), Mg at (0.000, 0.000, 0.500), Mg at (0.000, 0.250, 0.250), Mg at (0.121, 0.121, 0.379), Mg at (0.170, 0.170, 0.170) and As at (0.000, 0.000, 0.000).

The spin magnetization is 27.20 μB per cell. Its formation energy is -116 meV/atom. The value obtained for the density of states at the Fermi level is 1.781 states/eV per atom.

# 8
DFT (PBE-GGA) results for crystalline Ce2MgAs at its relaxed geometry.

The space group is P4/mmm (No. 123) and the conventional cell measures 3.929, 3.929 and 6.623 Å, with angles of 90.00, 90.00 and 90.00 degrees. The distinct sites, in fractional coordinates, are Ce at (0.000, 0.000, 0.206), Mg at (0.500, 0.500, 0.500) and As at (0.500, 0.500, 0.000).

The calculation puts the polymorph energy (0 for the lowest one) at 0 meV per atom. The spin magnetization is 1.97 μB per cell. Its formation energy is -566 meV/atom. The value obtained for the density of states at the Fermi level is 2.029 states/eV per atom.

# 9
DFT (PBE-GGA) results for crystalline Ce3MgAs4 at its relaxed geometry.

The space group is Pm-3m (No. 221) and the conventional cell measures 5.900, 5.900 and 5.900 Å, with angles of 90.00, 90.00 and 90.00 degrees. The distinct sites, in fractional coordinates, are Ce at (0.000, 0.000, 0.500), Mg at (0.500, 0.500, 0.500), As at (0.000, 0.000, 0.000) and As at (0.000, 0.500, 0.500).

The spin magnetization is 1.79 μB per cell. Its formation energy is -1146 meV/atom. The value obtained for the density of states at the Fermi level is 1.726 states/eV per atom.

# 10
DFT (PBE-GGA) results for crystalline Ce2NdMgAs4 at its relaxed geometry.

The space group is P2/m (No. 10) and the conventional cell measures 7.196, 4.224 and 7.284 Å, with angles of 90.00, 110.33 and 90.00 degrees. The distinct sites, in fractional coordinates, are Ce at (0.000, 0.000, 0.000), Ce at (0.000, 0.500, 0.500), Nd at (0.500, 0.000, 0.500), Mg at (0.500, 0.500, 0.000), As at (0.245, 0.500, 0.246) and As at (0.251, 0.000, 0.757).

The spin magnetization is 0.92 μB per cell. Its formation energy is -1173 meV/atom. The value obtained for the density of states at the Fermi level is 0.979 states/eV per atom.

# 11
DFT (PBE-GGA) results for crystalline Ce2MgNi3As4 at its relaxed geometry.

The space group is P-4m2 (No. 115) and the conventional cell measures 4.257, 4.257 and 9.860 Å, with angles of 90.00, 90.00 and 90.00 degrees. The distinct sites, in fractional coordinates, are Ce at (0.000, 0.500, 0.232), Mg at (0.000, 0.000, 0.500), Ni at (0.000, 0.500, 0.890), Ni at (0.500, 0.500, 0.500), As at (0.000, 0.000, 0.000), As at (0.000, 0.500, 0.650) and As at (0.500, 0.500, 0.000).

The spin magnetization is 1.44 μB per cell. Its formation energy is -783 meV/atom. The value obtained for the density of states at the Fermi level is 1.332 states/eV per atom.

# 12
DFT (PBE-GGA) results for crystalline Ce2MgAs3Pd4 at its relaxed geometry.

The space group is P-4m2 (No. 115) and the conventional cell measures 4.174, 4.174 and 11.167 Å, with angles of 90.00, 90.00 and 90.00 degrees. The distinct sites, in fractional coordinates, are Ce at (0.000, 0.500, 0.229), Mg at (0.000, 0.000, 0.500), As at (0.000, 0.500, 0.863), As at (0.500, 0.500, 0.500), Pd at (0.000, 0.000, 0.000), Pd at (0.000, 0.500, 0.644) and Pd at (0.500, 0.500, 0.000).

The spin magnetization is 1.31 μB per cell. Its formation energy is -860 meV/atom. The value obtained for the density of states at the Fermi level is 1.281 states/eV per atom.